Entry 1:
4
Lattice="-1.803 -0.389 -5.184 -4.908 -2.258 -1.044 -4.173 3.155 -1.705" Properties=species:S:1:pos:R:3 comment="BaCaAgGe, optimized geometry, DFT PBE-GGA" formation_enthalpy_0k_mev_per_atom=-364 spacegroup=F-43m magmom_total_mub_per_fu=0.00 dos_at_fermi_per_ev_cell=2.548 pbc="T T T"
Ca -5.442 0.254 -3.967
Ba 0.000 0.000 0.000
Ag -8.163 0.381 -5.950
Ge -2.721 0.127 -1.983



Entry 2:
9
Lattice="-0.789 -2.191 -3.295 3.429 -6.291 0.892 -8.899 -7.887 4.905" Properties=species:S:1:pos:R:3 comment="Ac6YCd2, optimized geometry, DFT PBE-GGA" formation_enthalpy_0k_mev_per_atom=-103 spacegroup=C2/m magmom_total_mub_per_fu=0.00 dos_at_fermi_per_ev_cell=10.710 pbc="T T T"
Ac -6.410 -10.669 3.689
Ac -3.415 -6.091 -0.073
Ac -5.046 -7.067 3.437
Ac -2.844 -10.278 2.575
Ac 0.151 -5.699 -1.187
Ac -1.213 -9.302 -0.935
Y 0.000 0.000 0.000
Cd -4.688 -13.538 2.714
Cd -1.571 -2.831 -0.212



Entry 3:
7
Lattice="5.367 0.000 0.000 0.000 5.367 0.000 0.000 0.000 5.367" Properties=species:S:1:pos:R:3 comment="Pb4C3, optimized geometry, DFT PBE-GGA" formation_enthalpy_0k_mev_per_atom=1358 spacegroup=P-43m magmom_total_mub_per_fu=0.00 polymorph_energy_mev_per_atom=0.0 dos_at_fermi_per_ev_cell=1.144 pbc="T T T"
C 2.683 2.683 0.000
C 2.683 0.000 2.683
C 0.000 2.683 2.683
Pb 1.322 1.322 4.044
Pb 4.044 4.044 4.044
Pb 1.322 4.044 1.322
Pb 4.044 1.322 1.322